Version A
## TcOsW (PBE)

Data for a geometry-optimized TcOsW structure.

Cell: 3.191 3.191 9.035 Å, 90.00 90.00 90.00°
Atoms (fractional coordinates):
Tc: 0.000 0.000 0.000
Tc: 0.500 0.500 0.500
Os: 0.000 0.000 0.315
Os: 0.500 0.500 0.815
W: 0.000 0.000 0.654
W: 0.500 0.500 0.154

Space-group type ... I4mm (107)
DOS(E_F) ... 1.129 states/eV per atom



Version B
## TcOsW (PBE)

Data for a geometry-optimized TcOsW structure.

Cell: 2.756 2.756 11.948 Å, 90.00 90.00 90.00°
Atoms (fractional coordinates):
Tc: 0.000 0.000 0.000
Tc: 0.500 0.500 0.500
Os: 0.000 0.000 0.350
Os: 0.500 0.500 0.850
W: 0.000 0.000 0.679
W: 0.500 0.500 0.179

Space-group type ... I4mm (107)
DOS(E_F) ... 0.614 states/eV per atom



Version C
## TcOsW (PBE)

Data for a geometry-optimized TcOsW structure.

Cell: 2.762 3.913 8.375 Å, 90.00 90.00 90.00°
Atoms (fractional coordinates):
Tc: 0.000 0.000 0.000
Tc: 0.500 0.500 0.500
Os: 0.000 0.000 0.339
Os: 0.500 0.500 0.839
W: 0.000 0.000 0.672
W: 0.500 0.500 0.172

Space-group type ... Imm2 (44)
DOS(E_F) ... 1.035 states/eV per atom



The structure with the least stability is version A.



Version A
## TcOsW2 (PBE)

Data for a geometry-optimized TcOsW2 structure.

Cell: 9.327 2.787 4.805 Å, 90.00 99.54 90.00°
Atoms (fractional coordinates):
Tc: 0.000 0.000 0.000
Tc: 0.500 0.500 0.000
Os: 0.262 0.000 0.754
Os: 0.762 0.500 0.754
W: 0.016 0.500 0.517
W: 0.255 0.500 0.243
W: 0.516 0.000 0.517
W: 0.755 0.000 0.243

Space-group type ... Cm (8)
DOS(E_F) ... 0.743 states/eV per atom



Version B
## TcOsW2 (PBE)

Data for a geometry-optimized TcOsW2 structure.

Cell: 3.976 3.976 3.889 Å, 90.00 90.00 90.00°
Atoms (fractional coordinates):
Tc: 0.000 0.000 0.000
Os: 0.500 0.500 0.000
W: 0.000 0.500 0.500
W: 0.500 0.000 0.500

Space-group type ... P4/mmm (123)
DOS(E_F) ... 1.245 states/eV per atom



Version C
## TcOsW2 (PBE)

Data for a geometry-optimized TcOsW2 structure.

Cell: 2.745 4.380 5.271 Å, 90.00 102.34 90.00°
Atoms (fractional coordinates):
Tc: 0.000 0.000 0.000
Os: 0.362 0.500 0.732
W: 0.581 0.000 0.500
W: 0.776 0.500 0.235

Space-group type ... Pm (6)
DOS(E_F) ... 0.880 states/eV per atom



Version D
## TcOsW2 (PBE)

Data for a geometry-optimized TcOsW2 structure.

Cell: 3.918 3.918 8.026 Å, 90.00 90.00 90.00°
Atoms (fractional coordinates):
Tc: 0.000 0.000 0.000
Tc: 0.500 0.500 0.500
Os: 0.000 0.500 0.250
Os: 0.500 0.000 0.750
W: 0.000 0.000 0.500
W: 0.000 0.500 0.750
W: 0.500 0.000 0.250
W: 0.500 0.500 0.000

Space-group type ... I-4m2 (119)
DOS(E_F) ... 1.121 states/eV per atom



The structure with the least stability is version C.